No. 1
Computed, not measured: a geometry-optimized RbYNO2 structure at the PBE level of DFT.

```
RbYNO2
1.0
4.226 0.000 0.000
0.000 4.226 0.000
0.000 0.000 4.437
Rb Y N O
1 1 1 2
Direct
0.000 0.000 0.000
0.500 0.500 0.500
0.000 0.000 0.500
0.000 0.500 0.000
0.500 0.000 0.000
```

Output
Total DFT energy (no corrections)   -23.3 eV/cell
Magnetic moment   0.22 μB per cell



No. 2
Computed, not measured: a geometry-optimized RbYN2O structure at the PBE level of DFT.

```
RbYN2O
1.0
4.312 0.000 0.000
0.000 4.312 0.000
0.000 0.000 4.192
Rb Y N O
1 1 2 1
Direct
0.000 0.000 0.000
0.500 0.500 0.500
0.000 0.500 0.000
0.500 0.000 0.000
0.000 0.000 0.500
```

Output
Total DFT energy (no corrections)   -22.6 eV/cell
Magnetic moment   0.55 μB per cell



No. 3
Computed, not measured: a geometry-optimized RbYN2O structure at the PBE level of DFT.

```
RbYN2O
1.0
4.784 0.000 0.000
0.000 4.784 0.000
0.000 0.000 4.433
Rb Y N O
1 1 2 1
Direct
0.000 0.000 0.000
0.500 0.500 0.500
0.000 0.500 0.500
0.500 0.000 0.500
0.500 0.500 0.000
```

Output
Total DFT energy (no corrections)   -29.8 eV/cell
Magnetic moment   4.01 μB per cell



No. 4
Computed, not measured: a geometry-optimized RbYNO2 structure at the PBE level of DFT.

```
RbYNO2
1.0
4.493 0.000 0.000
0.000 4.493 0.000
0.000 0.000 4.858
Rb Y N O
1 1 1 2
Direct
0.000 0.000 0.000
0.500 0.500 0.500
0.500 0.500 0.000
0.000 0.500 0.500
0.500 0.000 0.500
```

Output
Total DFT energy (no corrections)   -30.8 eV/cell
Magnetic moment   3.00 μB per cell



No. 5
Computed, not measured: a geometry-optimized RbZnNO2 structure at the PBE level of DFT.

```
RbZnNO2
1.0
4.155 0.000 0.000
0.000 4.155 0.000
0.000 0.000 4.353
Rb Zn N O
1 1 1 2
Direct
0.000 0.000 0.000
0.500 0.500 0.500
0.500 0.500 0.000
0.000 0.500 0.500
0.500 0.000 0.500
```

Output
Total DFT energy (no corrections)   -19.4 eV/cell
Magnetic moment   3.98 μB per cell



No. 6
Computed, not measured: a geometry-optimized RbZnNO2 structure at the PBE level of DFT.

```
RbZnNO2
1.0
5.152 0.000 0.000
0.000 5.152 0.000
0.000 0.000 5.570
Rb Zn N O
1 1 1 2
Direct
0.000 0.000 0.000
0.500 0.500 0.500
0.000 0.000 0.500
0.000 0.500 0.000
0.500 0.000 0.000
```

Output
Total DFT energy (no corrections)   -12.6 eV/cell
Magnetic moment   6.00 μB per cell